[1]
AcSmInPb: relaxed, PBE.

## Properties
- DOS(E_F): 3.9 states/eV/cell
- DFT formation energy: -0.476 eV per atom
- Energy relative to the lowest polymorph listed for this composition: 0 meV/atom
- Space group: Amm2
- M_tot: 0.0 μB/f.u.

POSCAR file:
```
AcSmInPb
1.0
4.5495 0.0000 0.0000
0.0000 2.4213 6.1310
0.0000 -2.4213 6.1310
Ac Sm In Pb
1 1 1 1
Direct
0.0000 0.0000 0.0000
0.5000 0.7256 0.7256
0.5000 0.4421 0.4421
0.0000 0.2739 0.2739
```

***

[2]
CdHgTe: relaxed, PBE.

## Properties
- DOS(E_F): 0.6 states/eV/cell
- Energy relative to the lowest polymorph listed for this composition: 161 meV/atom
- Formation energy without anion corrections: 0.03 eV per atom
- Space group: I4mm
- M_tot: 0.0 μB/f.u.

POSCAR file:
```
CdHgTe
1.0
-2.1350 2.1350 4.5473
2.1350 -2.1350 4.5473
2.1350 2.1350 -4.5473
Cd Hg Te
1 1 1
Direct
0.0000 0.0000 0.0000
0.3259 0.3259 0.0000
0.6596 0.6596 0.0000
```

***

[3]
Tb5Ho5Tl: relaxed, PBE.

## Properties
- DOS(E_F): 19.9 states/eV/cell
- DFT formation energy: 0.314 eV per atom
- Space group: P-6m2
- M_tot: 0.0 μB/f.u.

POSCAR file:
```
Tb5Ho5Tl
1.0
6.0827 0.0000 0.0000
-3.0414 5.2678 0.0000
0.0000 0.0000 11.2274
Tb Ho Tl
5 5 1
Direct
0.0000 0.0000 0.0000
0.3333 0.6667 0.2928
0.3333 0.6667 0.7072
0.6667 0.3333 0.1887
0.6667 0.3333 0.8113
0.0000 0.0000 0.2676
0.0000 0.0000 0.7324
0.3381 0.1690 0.5000
0.8310 0.1690 0.5000
0.8310 0.6619 0.5000
0.3333 0.6667 0.0000
```

***

[4]
CsYSN2: relaxed, PBE.

## Properties
- DOS(E_F): 2.3 states/eV/cell
- Energy relative to the lowest polymorph listed for this composition: 0 meV/atom
- Formation energy without anion corrections: 0.15 eV per atom
- Space group: P4/mmm
- M_tot: 4.0 μB/f.u.

POSCAR file:
```
CsYSN2
1.0
4.8634 0.0000 0.0000
0.0000 4.8634 0.0000
0.0000 0.0000 5.3923
Cs Y S N
1 1 1 2
Direct
0.0000 0.0000 0.0000
0.5000 0.5000 0.5000
0.5000 0.5000 0.0000
0.0000 0.5000 0.5000
0.5000 0.0000 0.5000
```

***

[5]
NdScMnSi2: relaxed, PBE.

## Properties
- DOS(E_F): 4.2 states/eV/cell
- Formation energy without anion corrections: -0.57 eV per atom
- Space group: I-4m2
- M_tot: 2.4 μB/f.u.

POSCAR file:
```
NdScMnSi2
1.0
-2.0775 2.0775 5.6429
2.0775 -2.0775 5.6429
2.0775 2.0775 -5.6429
Nd Sc Mn Si
1 1 1 2
Direct
0.0000 0.0000 0.0000
0.2500 0.7500 0.5000
0.7500 0.2500 0.5000
0.3927 0.3927 0.0000
0.6073 0.6073 0.0000
```

***

[6]
PuThSc2: relaxed, PBE.

## Properties
- DOS(E_F): 11.3 states/eV/cell
- DFT formation energy: 0.104 eV per atom
- Energy relative to the lowest polymorph listed for this composition: 5 meV/atom
- Space group: Amm2
- M_tot: 6.0 μB/f.u.

POSCAR file:
```
PuThSc2
1.0
10.9845 0.0000 0.0000
0.0000 1.6814 2.9102
0.0000 -1.6814 2.9102
Pu Th Sc
1 1 2
Direct
0.0000 0.0000 0.0000
0.5000 0.6681 0.6681
0.2427 0.3337 0.3337
0.7573 0.3337 0.3337
```

***

[7]
NiMoOs2: relaxed, PBE.

## Properties
- DOS(E_F): 4.3 states/eV/cell
- DFT formation energy: 0.236 eV per atom
- Energy relative to the lowest polymorph listed for this composition: 198 meV/atom
- Space group: P2/m
- M_tot: 0.0 μB/f.u.

POSCAR file:
```
NiMoOs2
1.0
2.6693 0.0000 0.0000
0.0000 4.3815 0.0000
-0.5123 0.0000 4.8428
Ni Mo Os
1 1 2
Direct
0.0000 0.0000 0.0000
0.5000 0.0000 0.5000
0.2043 0.5000 0.7700
0.7957 0.5000 0.2300
```

***

[8]
MnOs2Au: relaxed, PBE.

## Properties
- DOS(E_F): 4.5 states/eV/cell
- DFT formation energy: 0.294 eV per atom
- Energy relative to the lowest polymorph listed for this composition: 68 meV/atom
- Space group: R3m
- M_tot: 2.6 μB/f.u.

POSCAR file:
```
MnOs2Au
1.0
1.3885 0.8017 8.9979
-1.3885 0.8017 8.9979
0.0000 -1.6033 8.9979
Mn Os Au
1 2 1
Direct
0.0000 0.0000 0.0000
0.4910 0.4910 0.4910
0.7464 0.7464 0.7464
0.2494 0.2494 0.2494
```

***

[9]
TaCoP2: relaxed, PBE.

## Properties
- DOS(E_F): 1.9 states/eV/cell
- DFT formation energy: -0.374 eV per atom
- Energy relative to the lowest polymorph listed for this composition: 135 meV/atom
- Space group: Cm
- M_tot: 0.0 μB/f.u.

POSCAR file:
```
TaCoP2
1.0
4.2058 -1.5775 0.0000
4.2058 1.5775 0.0000
-1.0581 0.0000 4.0848
Ta Co P
1 1 2
Direct
0.0000 0.0000 0.0000
0.2247 0.2247 0.5810
0.4981 0.4981 0.5047
0.7429 0.7429 0.1805
```

***

[10]
KRh2Se: relaxed, PBE.

## Properties
- DOS(E_F): 3.0 states/eV/cell
- Formation energy without anion corrections: -0.04 eV per atom
- Space group: Cm
- M_tot: 0.0 μB/f.u.

POSCAR file:
```
KRh2Se
1.0
4.9638 -1.5445 0.0000
4.9638 1.5445 0.0000
-2.3216 0.0000 5.9885
K Rh Se
1 2 1
Direct
0.0000 0.0000 0.0000
0.4919 0.4919 0.4610
0.7698 0.7698 0.4426
0.1859 0.1859 0.6616
```

***

[11]
CsPmAs2: relaxed, PBE.

## Properties
- DOS(E_F): 4.6 states/eV/cell
- DFT formation energy: -0.587 eV per atom
- Energy relative to the lowest polymorph listed for this composition: 243 meV/atom
- Space group: R-3m
- M_tot: 0.0 μB/f.u.

POSCAR file:
```
CsPmAs2
1.0
2.2643 1.3073 8.1738
-2.2643 1.3073 8.1738
0.0000 -2.6146 8.1738
Cs Pm As
1 1 2
Direct
0.0000 0.0000 0.0000
0.5000 0.5000 0.5000
0.2236 0.2236 0.2236
0.7764 0.7764 0.7764
```

***

[12]
CaEu2H: relaxed, PBE.

## Properties
- DOS(E_F): 3.4 states/eV/cell
- Calculated total energy: -6.66 eV per atom
- Space group: R-3m
- M_tot: 15.4 μB/f.u.

POSCAR file:
```
CaEu2H
1.0
1.9194 1.1081 9.4410
-1.9194 1.1081 9.4410
0.0000 -2.2163 9.4410
Ca Eu H
1 2 1
Direct
0.0000 0.0000 0.0000
0.2174 0.2174 0.2174
0.7826 0.7826 0.7826
0.5000 0.5000 0.5000
```